Record 1
Material: KBaZr2
Method: DFT, GGA-PBE
State: optimized geometry

```
KBaZr2
1.0
-5.171 0.816 -2.352
-1.745 -3.344 -4.325
-4.177 -3.843 0.849
K Zr Ba
1 2 1
Direct
0.750 0.750 0.750 K
0.250 0.250 0.250 Zr
0.000 0.000 0.000 Zr
0.500 0.500 0.500 Ba
```

Computed properties:
The value obtained for the formation energy is 959 meV per atom. Its space group is F-43m, No. 216. Its energy is -4.07 eV/atom. The calculation puts the magnetization at 2.67 μB/cell. For the energy relative to the lowest polymorph listed for this composition, the calculation gives 0.521 eV/atom.

Record 2
Material: KBaZr2
Method: DFT, GGA-PBE
State: optimized geometry

```
KBaZr2
1.0
4.138 0.000 0.000
0.000 3.553 0.000
0.000 3.627 10.475
Ba K Zr
1 1 2
Direct
0.000 0.562 0.431 Ba
0.500 0.704 0.803 K
0.000 0.929 0.072 Zr
0.500 0.305 0.194 Zr
```

Computed properties:
The value obtained for the formation energy is 493 meV per atom. Its space group is Pm, No. 6. Its energy is -4.54 eV/atom. The calculation puts the magnetization at 0.00 μB/cell. For the energy relative to the lowest polymorph listed for this composition, the calculation gives 0.055 eV/atom.

Record 3
Material: KBaZr4
Method: DFT, GGA-PBE
State: optimized geometry

```
KBaZr4
1.0
0.000 4.552 4.552
4.552 0.000 4.552
4.552 4.552 0.000
Zr K Ba
4 1 1
Direct
0.383 0.851 0.383 Zr
0.383 0.383 0.851 Zr
0.851 0.383 0.383 Zr
0.383 0.383 0.383 Zr
0.000 0.000 0.000 K
0.750 0.750 0.750 Ba
```

Computed properties:
The value obtained for the formation energy is 795 meV per atom. Its space group is F-43m, No. 216. Its energy is -5.41 eV/atom. The calculation puts the magnetization at 0.00 μB/cell.

Record 4
Material: KBaZr
Method: DFT, GGA-PBE
State: optimized geometry

```
KBaZr
1.0
10.171 0.000 0.007
0.000 4.722 0.000
-3.222 0.000 12.398
Zr Ba K
4 4 4
Direct
0.111 0.000 0.044 Zr
0.166 0.000 0.474 Zr
0.166 0.500 0.974 Zr
0.111 0.500 0.544 Zr
0.801 0.500 0.926 Ba
0.801 0.000 0.426 Ba
0.996 0.500 0.235 Ba
0.996 0.000 0.735 Ba
0.526 0.000 0.093 K
0.526 0.500 0.593 K
0.373 0.000 0.791 K
0.373 0.500 0.291 K
```

Computed properties:
The value obtained for the formation energy is 579 meV per atom. Its space group is Cm, No. 8. Its energy is -3.28 eV/atom. The calculation puts the magnetization at 0.00 μB/cell. For the energy relative to the lowest polymorph listed for this composition, the calculation gives 0.301 eV/atom.

Record 5
Material: KBaZr2
Method: DFT, GGA-PBE
State: optimized geometry

```
KBaZr2
1.0
-7.051 -8.452 -7.194
-5.247 -10.745 -5.471
-8.102 -9.491 -4.146
Zr Ba K
2 1 1
Direct
0.994 0.994 0.994 Zr
0.506 0.506 0.506 Zr
0.250 0.250 0.250 Ba
0.750 0.750 0.750 K
```

Computed properties:
The value obtained for the formation energy is 831 meV per atom. Its space group is R-3m, No. 166. Its energy is -4.20 eV/atom. The calculation puts the magnetization at 0.00 μB/cell. For the energy relative to the lowest polymorph listed for this composition, the calculation gives 0.393 eV/atom.

Record 6
Material: KBaZr
Method: DFT, GGA-PBE
State: optimized geometry

```
KBaZr
1.0
-1.195 2.818 -2.030
-1.043 -3.293 -6.085
-10.663 -2.699 0.430
K Zr Ba
2 2 2
Direct
0.880 0.761 0.558 K
0.101 0.315 0.352 K
0.479 0.847 0.219 Zr
0.822 0.125 0.078 Zr
0.405 0.192 0.786 Ba
0.177 0.637 0.979 Ba
```

Computed properties:
The value obtained for the formation energy is 562 meV per atom. Its space group is P1, No. 1. Its energy is -3.29 eV/atom. The calculation puts the magnetization at 0.00 μB/cell. For the energy relative to the lowest polymorph listed for this composition, the calculation gives 0.284 eV/atom.

Record 7
Material: KBaZr
Method: DFT, GGA-PBE
State: optimized geometry

```
KBaZr
1.0
-2.200 2.680 -1.226
-5.839 -3.238 0.190
-3.742 2.955 10.453
Zr Ba K
2 2 2
Direct
0.844 0.859 0.072 Zr
0.156 0.141 0.928 Zr
0.539 0.657 0.829 Ba
0.461 0.343 0.171 Ba
0.241 0.781 0.395 K
0.759 0.219 0.605 K
```

Computed properties:
The value obtained for the formation energy is 485 meV per atom. Its space group is P-1, No. 2. Its energy is -3.37 eV/atom. The calculation puts the magnetization at 0.00 μB/cell. For the energy relative to the lowest polymorph listed for this composition, the calculation gives 0.207 eV/atom.

Record 8
Material: K2BaZr2
Method: DFT, GGA-PBE
State: optimized geometry

```
K2BaZr2
1.0
-10.726 -0.396 2.092
1.940 -6.243 8.767
0.276 2.818 1.946
Ba K Zr
2 4 4
Direct
0.000 0.000 0.000 Ba
0.500 0.500 0.000 Ba
0.201 0.299 0.000 K
0.701 0.201 0.000 K
0.799 0.701 0.000 K
0.299 0.799 0.000 K
0.417 0.083 0.500 Zr
0.083 0.583 0.500 Zr
0.917 0.417 0.500 Zr
0.583 0.917 0.500 Zr
```

Computed properties:
The value obtained for the formation energy is 986 meV per atom. Its space group is P4/mbm, No. 127. Its energy is -3.26 eV/atom. The calculation puts the magnetization at 2.89 μB/cell. For the energy relative to the lowest polymorph listed for this composition, the calculation gives 0.370 eV/atom.

Record 9
Material: KBaZr2
Method: DFT, GGA-PBE
State: optimized geometry

```
KBaZr2
1.0
6.393 0.000 0.000
0.000 3.245 0.101
0.000 1.484 7.407
Zr K Ba
2 1 1
Direct
0.000 0.430 0.416 Zr
0.000 0.070 0.084 Zr
0.500 0.750 0.750 K
0.500 0.250 0.250 Ba
```

Computed properties:
The value obtained for the formation energy is 816 meV per atom. Its space group is P2/m, No. 10. Its energy is -4.21 eV/atom. The calculation puts the magnetization at 0.00 μB/cell. For the energy relative to the lowest polymorph listed for this composition, the calculation gives 0.377 eV/atom.

Record 10
Material: KBaZr2
Method: DFT, GGA-PBE
State: optimized geometry

```
KBaZr2
1.0
3.412 0.000 0.000
0.000 3.412 0.000
0.000 0.000 12.401
Zr Ba K
2 1 1
Direct
0.500 0.500 0.209 Zr
0.000 0.000 0.052 Zr
0.000 0.000 0.458 Ba
0.500 0.500 0.781 K
```

Computed properties:
The value obtained for the formation energy is 438 meV per atom. Its space group is P4mm, No. 99. Its energy is -4.59 eV/atom. The calculation puts the magnetization at 0.31 μB/cell. For the energy relative to the lowest polymorph listed for this composition, the calculation gives 0.000 eV/atom.

Record 11
Material: KBaZr2
Method: DFT, GGA-PBE
State: optimized geometry

```
KBaZr2
1.0
-2.596 2.199 -0.704
0.585 -1.086 -5.549
-4.251 -4.859 0.503
Zr K Ba
2 1 1
Direct
0.000 0.000 0.000 Zr
0.500 0.500 0.000 Zr
0.000 0.500 0.500 K
0.500 0.000 0.500 Ba
```

Computed properties:
The value obtained for the formation energy is 893 meV per atom. Its space group is Pmmm, No. 47. Its energy is -4.14 eV/atom. The calculation puts the magnetization at 0.48 μB/cell. For the energy relative to the lowest polymorph listed for this composition, the calculation gives 0.455 eV/atom.

Record 12
Material: KBaZr2
Method: DFT, GGA-PBE
State: optimized geometry

```
KBaZr2
1.0
-1.122 -0.950 -5.075
1.020 -3.265 -4.027
-7.211 -5.672 2.219
K Zr Ba
1 2 1
Direct
0.256 0.256 0.199 K
0.011 0.011 0.913 Zr
0.740 0.740 0.819 Zr
0.492 0.492 0.569 Ba
```

Computed properties:
The value obtained for the formation energy is 651 meV per atom. Its space group is Cm, No. 8. Its energy is -4.38 eV/atom. The calculation puts the magnetization at 0.00 μB/cell. For the energy relative to the lowest polymorph listed for this composition, the calculation gives 0.213 eV/atom.

Record 13
Material: K3BaZr
Method: DFT, GGA-PBE
State: optimized geometry

```
K3BaZr
1.0
6.902 0.000 0.000
0.000 6.902 0.000
0.000 0.000 6.902
Zr K Ba
1 3 1
Direct
0.500 0.500 0.500 Zr
0.500 0.000 0.000 K
0.000 0.500 0.000 K
0.000 0.000 0.500 K
0.000 0.000 0.000 Ba
```

Computed properties:
The value obtained for the formation energy is 1456 meV per atom. Its space group is Pm-3m, No. 221. Its energy is -1.30 eV/atom. The calculation puts the magnetization at 5.10 μB/cell. For the energy relative to the lowest polymorph listed for this composition, the calculation gives 0.477 eV/atom.

Record 14
Material: KBaZr2
Method: DFT, GGA-PBE
State: optimized geometry

```
KBaZr2
1.0
-1.344 -0.167 2.934
-0.737 -3.104 -0.514
11.268 -3.498 4.962
Zr K Ba
2 1 1
Direct
0.000 0.000 0.016 Zr
0.000 0.000 0.484 Zr
0.500 0.500 0.750 K
0.500 0.500 0.250 Ba
```

Computed properties:
The value obtained for the formation energy is 920 meV per atom. Its space group is P4/mmm, No. 123. Its energy is -4.11 eV/atom. The calculation puts the magnetization at 1.25 μB/cell. For the energy relative to the lowest polymorph listed for this composition, the calculation gives 0.482 eV/atom.